Compound: Na4Ca3CrO8
Source: the Alexandria database
Functional: PBE+U
Structure: relaxed

a b c (Å): 11.4201 6.6113 6.6805
angles (deg): 90.00 124.51 90.00
Space group C2/m (No. 12)
Unique sites:
Na 0.0000 0.0000 0.0000
Na 0.0000 0.5000 0.0000
Na 0.2500 0.2500 0.0000
Ca 0.0000 0.0000 0.5000
Ca 0.2500 0.2500 0.5000
Cr 0.0000 0.5000 0.5000
O 0.0040 0.2839 0.2939
O 0.1997 0.5000 0.6946
O 0.2421 0.0000 0.7288

Its theoretical density is 3.13 g/cm³. Its total DFT energy (no corrections) is -5.546 eV per atom.